# 1
DFT (GGA-PBE) results for Sr2AlInPd6 after structural relaxation.

Computed properties:
- Fermi-level density of states: 5.306 states/eV per cell
- E_form: -0.581 eV per atom
- Crystal system: monoclinic

a b c (Å): 12.172 5.687 8.650
angles (deg): 90.00 132.18 90.00
Space group C2/m (No. 12)
Asymmetric unit:
Sr: 0.248 0.000 0.215 x4
Al: 0.000 0.000 0.500 x2
In: 0.000 0.500 0.000 x2
Pd: 0.005 0.249 0.268 x8
Pd: 0.247 0.000 0.590 x4

=====

# 2
DFT (GGA-PBE) results for TaAlInPd2 after structural relaxation.

Computed properties:
- Fermi-level density of states: 5.952 states/eV per cell
- E_form: 1.231 eV per atom
- Crystal system: tetragonal

a b c (Å): 4.835 4.835 5.171
angles (deg): 90.00 90.00 90.00
Space group P4/mmm (No. 123)
Asymmetric unit:
Ta: 0.000 0.000 0.000 x1
Al: 0.500 0.500 0.000 x1
In: 0.000 0.000 0.500 x1
Pd: 0.000 0.500 0.500 x2